{"formula": "TlGeMo4N2", "functional": "GGA-PBE", "state": "relaxed", "lattice_angstrom": [[3.280, 0.000, 0.000], [-1.640, 2.840, 0.000], [0.000, 0.000, 12.476]], "species": ["Tl", "Ge", "Mo", "Mo", "Mo", "Mo", "N", "N"], "frac_coords": [[0.000, 0.000, 0.000], [0.333, 0.667, 0.500], [0.000, 0.000, 0.355], [0.000, 0.000, 0.645], [0.333, 0.667, 0.194], [0.333, 0.667, 0.806], [0.667, 0.333, 0.252], [0.667, 0.333, 0.748]], "m_tot_mub_per_fu": 0.0, "volume_a3_per_cell": 116, "final_energy_ev_per_atom": -8.357}

---

{"formula": "Ge3Mo2W4N3", "functional": "GGA-PBE", "state": "relaxed", "lattice_angstrom": [[4.585, -2.732, 0.000], [4.585, 2.732, 0.000], [-3.921, 0.000, 12.783]], "species": ["Ge", "Ge", "Ge", "Ge", "Ge", "Ge", "Mo", "Mo", "Mo", "Mo", "W", "W", "W", "W", "W", "W", "W", "W", "N", "N", "N", "N", "N", "N"], "frac_coords": [[0.105, 0.895, 0.750], [0.181, 0.438, 0.253], [0.438, 0.181, 0.753], [0.562, 0.819, 0.247], [0.819, 0.562, 0.747], [0.895, 0.105, 0.250], [0.429, 0.452, 0.615], [0.452, 0.429, 0.115], [0.548, 0.571, 0.885], [0.571, 0.548, 0.385], [0.043, 0.179, 0.583], [0.158, 0.303, 0.915], [0.179, 0.043, 0.083], [0.303, 0.158, 0.415], [0.697, 0.842, 0.585], [0.821, 0.957, 0.917], [0.842, 0.697, 0.085], [0.957, 0.821, 0.417], [0.000, 0.500, 0.500], [0.240, 0.657, 0.975], [0.343, 0.760, 0.525], [0.500, 0.000, 0.000], [0.657, 0.240, 0.475], [0.760, 0.343, 0.025]], "m_tot_mub_per_fu": 0.0, "volume_a3_per_cell": 320, "final_energy_ev_per_atom": -9.281}